A plane-wave DFT calculation with PBE was carried out for a geometry-optimized CsBa2Re2N6 structure.

Properties
The raw formation energy is -26 kJ per mole of atoms. Its symmetry is P-1, No. 2. The total energy is -7.5040 eV per atom. As for the total magnetic moment: 0.0931 μB per atom.

Cell: 7.7493 7.1699 7.7213 Å, 116.42 90.13 57.20°
Closest atoms and distances in Å follow each position.
Fractional positions:
Ba 0.8088 0.3829 0.7883  4 N 2.70-2.78
Ba 0.1912 0.6171 0.2117  4 N 2.70-2.78
N 0.0754 0.8472 0.6243  1 Re 1.80
N 0.9891 0.3965 0.1687  1 Re 1.79
N 0.0109 0.6035 0.8313  1 Re 1.79
N 0.6140 0.3960 0.1691  1 Re 1.79
N 0.9246 0.1528 0.3757  1 Re 1.80
N 0.3860 0.6040 0.8309  1 Re 1.79
Re 0.1162 0.7673 0.8186  3 N 1.79-1.80
Re 0.8838 0.2327 0.1814  3 N 1.79-1.80
Cs 0.5000 0.0000 0.5000  4 N 3.47-3.48



A plane-wave DFT calculation with PBE was carried out for a geometry-optimized BeCo2Tc structure.

Properties
Its symmetry is P4/mmm, No. 123. The calculation puts the energy relative to the lowest polymorph listed for this composition at 260 meV per atom. The total energy is -6.9837 eV per atom. As for the total magnetic moment: 0.7057 μB per atom. The calculation puts the formation energy at 0.09 eV per atom.

Cell: 3.7428 3.4512 3.4512 Å, 90.00 90.00 90.00°
Closest atoms and distances in Å follow each position.
Fractional positions:
Be 0.5000 0.0000 0.5000  4 Tc 2.44, 8 Co 2.55
Tc 0.5000 0.5000 0.0000  4 Be 2.44, 8 Co 2.55
Co 0.0000 0.5000 0.5000  4 Co 2.44, 4 Be 2.55, 4 Tc 2.55
Co 0.0000 0.0000 0.0000  4 Co 2.44, 4 Be 2.55, 4 Tc 2.55



A plane-wave DFT calculation with PBE was carried out for a geometry-optimized BeCr2 structure.

Properties
Its symmetry is P6_3/mmc, No. 194. The total energy is -7.5544 eV per atom. As for the total magnetic moment: 0.2040 μB per atom. The calculation puts the formation energy at 0.10 eV per atom.

Cell: 3.9443 3.9443 4.6597 Å, 90.00 90.00 120.00°
Closest atoms and distances in Å follow each position.
Fractional positions:
Cr 0.6667 0.3333 0.2500  5 Be 2.28-2.33
Cr 0.0000 0.0000 0.0000  8 Cr 2.33-2.56, 6 Be 2.56
Cr 0.3333 0.6667 0.7500  5 Be 2.28-2.33
Cr 0.0000 0.0000 0.5000  8 Cr 2.33-2.56, 6 Be 2.56
Be 0.6667 0.3333 0.7500  5 Cr 2.28-2.33
Be 0.3333 0.6667 0.2500  5 Cr 2.28-2.33



The lowest total magnetic moment belongs to which entry? CsBa2Re2N6



Repeat the first record exactly.
A plane-wave DFT calculation with PBE was carried out for a geometry-optimized CsBa2Re2N6 structure.

Properties
The raw formation energy is -26 kJ per mole of atoms. Its symmetry is P-1, No. 2. The total energy is -7.5040 eV per atom. As for the total magnetic moment: 0.0931 μB per atom.

Cell: 7.7493 7.1699 7.7213 Å, 116.42 90.13 57.20°
Closest atoms and distances in Å follow each position.
Fractional positions:
Ba 0.8088 0.3829 0.7883  4 N 2.70-2.78
Ba 0.1912 0.6171 0.2117  4 N 2.70-2.78
N 0.0754 0.8472 0.6243  1 Re 1.80
N 0.9891 0.3965 0.1687  1 Re 1.79
N 0.0109 0.6035 0.8313  1 Re 1.79
N 0.6140 0.3960 0.1691  1 Re 1.79
N 0.9246 0.1528 0.3757  1 Re 1.80
N 0.3860 0.6040 0.8309  1 Re 1.79
Re 0.1162 0.7673 0.8186  3 N 1.79-1.80
Re 0.8838 0.2327 0.1814  3 N 1.79-1.80
Cs 0.5000 0.0000 0.5000  4 N 3.47-3.48